# KMn2PbI8

KMn2PbI8 after structural relaxation (PBE, Alexandria).

Properties
The calculation puts the raw total energy at -3.54 eV/atom. For the formation energy (no corrections), the calculation gives -0.575 eV/atom. For the density of states at the Fermi level, the calculation gives 10.0 states/eV/f.u.

The structure in POSCAR format:
```
KMn2PbI8
1.0
-0.168 6.229 4.302
-6.309 -2.406 -3.426
-2.377 -5.996 8.590
I Mn Pb K
8 2 1 1
Cartesian
-2.223 3.331 1.754 I
-2.928 -0.624 2.940 I
-1.741 -2.041 7.341 I
-3.888 1.259 9.051 I
-5.927 -1.550 6.525 I
-4.967 -3.433 0.415 I
-7.114 -0.132 2.125 I
-6.632 -5.505 7.712 I
-2.799 1.878 3.835 Mn
-6.056 -4.052 5.631 Mn
-1.189 -2.998 4.295 Pb
0.000 0.000 0.000 K
```